A plane-wave DFT calculation with PBE-GGA was carried out for a relaxed structure of Rb2SrAg2Cl7.

Lattice parameters (Å, degrees): 13.592 13.592 13.592 158.01 158.01 31.29
Atoms (fractional coordinates):
Rb (0.179, 0.179, 0.000)
Rb (0.821, 0.821, 0.000)
Sr (0.000, 0.000, 0.000)
Ag (0.402, 0.402, 0.000)
Ag (0.598, 0.598, 0.000)
Cl (0.080, 0.580, 0.500)
Cl (0.304, 0.304, 0.000)
Cl (0.420, 0.920, 0.500)
Cl (0.500, 0.500, 0.000)
Cl (0.580, 0.080, 0.500)
Cl (0.696, 0.696, 0.000)
Cl (0.920, 0.420, 0.500)

Properties
- uncorrected formation energy (eV per atom) = -1.385
- DOS(E_F) (states/eV/cell) = 4.620



A plane-wave DFT calculation with PBE-GGA was carried out for a relaxed structure of RbTaAg2Cl8.

Lattice parameters (Å, degrees): 6.283 7.526 9.288 68.23 83.50 86.71
Atoms (fractional coordinates):
Rb (0.000, 0.000, 0.000)
Ta (0.000, 0.500, 0.500)
Ag (0.495, 0.462, 0.175)
Ag (0.505, 0.538, 0.825)
Cl (0.097, 0.485, 0.746)
Cl (0.170, 0.796, 0.376)
Cl (0.323, 0.334, 0.462)
Cl (0.477, 0.788, 0.953)
Cl (0.523, 0.212, 0.047)
Cl (0.677, 0.666, 0.538)
Cl (0.830, 0.204, 0.624)
Cl (0.903, 0.515, 0.254)

Properties
- uncorrected formation energy (eV per atom) = -1.137



A plane-wave DFT calculation with PBE-GGA was carried out for a relaxed structure of Rb2TaAgCl6.

Lattice parameters (Å, degrees): 7.387 7.387 7.387 60.00 60.00 60.00
Atoms (fractional coordinates):
Rb (0.250, 0.250, 0.250)
Rb (0.750, 0.750, 0.750)
Ta (0.000, 0.000, 0.000)
Ag (0.500, 0.500, 0.500)
Cl (0.238, 0.238, 0.762)
Cl (0.238, 0.762, 0.238)
Cl (0.238, 0.762, 0.762)
Cl (0.762, 0.238, 0.238)
Cl (0.762, 0.238, 0.762)
Cl (0.762, 0.762, 0.238)

Properties
- uncorrected formation energy (eV per atom) = -1.269
- DOS(E_F) (states/eV/cell) = 11.598



A plane-wave DFT calculation with PBE-GGA was carried out for a relaxed structure of RbTbAg2Cl8.

Lattice parameters (Å, degrees): 8.847 8.847 8.847 135.04 135.04 65.47
Atoms (fractional coordinates):
Rb (0.000, 0.000, 0.000)
Tb (0.250, 0.750, 0.500)
Ag (0.500, 0.500, 0.000)
Ag (0.750, 0.250, 0.500)
Cl (0.278, 0.693, 0.161)
Cl (0.307, 0.467, 0.584)
Cl (0.398, 0.017, 0.032)
Cl (0.533, 0.117, 0.839)
Cl (0.633, 0.602, 0.618)
Cl (0.883, 0.722, 0.416)
Cl (0.983, 0.015, 0.382)
Cl (0.985, 0.367, 0.968)

Properties
- uncorrected formation energy (eV per atom) = -1.163
- DOS(E_F) (states/eV/cell) = 13.233



In order of appearance, size of the total moment = 0.00 0.00 2.00 0.00 μB per formula unit.
In order of appearance, DFT total energy = -38.87 -46.94 -40.40 -40.03 eV/cell.